Material: PmSm2Tl3Te6
Method: DFT, GGA-PBE
State: relaxed

extended XYZ file:
```
12
Lattice="3.9243 -6.7970 0.0000 3.9243 6.7970 0.0000 -2.6161 0.0000 8.1801" Properties=species:S:1:pos:R:3 pbc="T T T"
Pm 0.0000 0.0000 0.0000
Sm 3.9243 2.2653 0.0000
Sm 3.9243 -2.2653 0.0000
Tl 2.6163 4.5321 4.0901
Tl 2.6163 0.0000 4.0901
Tl 2.6163 -4.5321 4.0901
Te 1.3126 2.2737 1.7866
Te 0.0087 0.0000 6.3945
Te 1.3126 -2.2737 1.7866
Te 3.9200 2.2737 6.3936
Te 5.2238 0.0000 1.7856
Te 3.9200 -2.2737 6.3936
```

E_form (uncorrected): -1072 meV/atom
SG: No. 12

---

Material: Pm3SmTm2Te6
Method: DFT, GGA-PBE
State: relaxed

extended XYZ file:
```
12
Lattice="9.6544 -2.1832 0.0000 9.6544 2.1832 0.0000 -2.1938 0.0000 8.6267" Properties=species:S:1:pos:R:3 pbc="T T T"
Pm 0.0000 0.0000 0.0000
Pm 5.0773 0.0000 5.7641
Pm 12.0377 0.0000 2.8627
Sm -1.0969 0.0000 4.3134
Tm 6.1030 0.0000 1.4716
Tm 11.0121 0.0000 7.1551
Te 1.9609 0.0000 5.1215
Te 3.1365 0.0000 0.6492
Te 9.0103 0.0000 2.1435
Te 8.1047 0.0000 6.4832
Te 13.9785 0.0000 7.9775
Te 15.1542 0.0000 3.5053
```

E_form (uncorrected): -1329 meV/atom
SG: No. 12

---

Material: Pm3Sm2TmTe6
Method: DFT, GGA-PBE
State: relaxed

extended XYZ file:
```
12
Lattice="9.6709 -2.2003 0.0000 9.6709 2.2003 0.0000 -2.0409 0.0000 8.6837" Properties=species:S:1:pos:R:3 pbc="T T T"
Pm 0.0000 0.0000 0.0000
Pm 4.9782 0.0000 5.7775
Pm 12.3226 0.0000 2.9061
Sm 6.0459 0.0000 1.4165
Sm 11.2549 0.0000 7.2672
Tm -1.0205 0.0000 4.3418
Te 1.9146 0.0000 5.0480
Te 3.0294 0.0000 0.7097
Te 8.1472 0.0000 6.4228
Te 9.1536 0.0000 2.2609
Te 14.2714 0.0000 7.9740
Te 15.3862 0.0000 3.6357
```

E_form (uncorrected): -1363 meV/atom
SG: No. 12